# 1
This record from Alexandria via LeMat-Bulk describes a geometry-optimized Tl5Hg2Sb2 structure. The functional is PBE.

## Properties
* relative energy among the computed polymorphs: 0.0 meV per atom
* formation energy from raw total energies: 0.0074 eV per atom

Cell lengths 8.5734, 8.6830, 9.0614 Å; angles 90.00, 61.77, 90.00 degrees
Last column: nearest neighbours and their distance in Å.
Positions (direct):
Tl  0.0356  0.6690  0.2713  3 Hg 3.27-3.42, 3 Sb 3.33-3.36
Tl  0.4644  0.1690  0.7287  3 Hg 3.27-3.42, 3 Sb 3.33-3.36
Tl  0.1931  0.1690  0.2713  3 Hg 3.27-3.42, 3 Sb 3.33-3.36
Tl  0.5000  0.5000  0.0000  2 Hg 3.29, 4 Sb 3.43-3.44
Tl  0.6931  0.3310  0.2713  3 Hg 3.27-3.42, 3 Sb 3.33-3.36
Tl  0.5356  0.8310  0.2713  3 Hg 3.27-3.42, 3 Sb 3.33-3.36
Tl  0.3069  0.6690  0.7287  3 Hg 3.27-3.42, 3 Sb 3.33-3.36
Tl  0.9644  0.3310  0.7287  3 Hg 3.27-3.42, 3 Sb 3.33-3.36
Tl  0.0000  0.0000  0.0000  2 Hg 3.29, 4 Sb 3.43-3.44
Tl  0.8069  0.8310  0.7287  3 Hg 3.27-3.42, 3 Sb 3.33-3.36
Hg  0.2940  0.5000  0.4121  7 Tl 3.27-3.42
Hg  0.7060  0.5000  0.5879  7 Tl 3.27-3.42
Hg  0.2060  0.0000  0.5879  7 Tl 3.27-3.42
Hg  0.7940  0.0000  0.4121  7 Tl 3.27-3.42
Sb  0.8799  0.6220  0.0000  1 Sb 2.96
Sb  0.6201  0.1220  0.0000  1 Sb 2.96
Sb  0.3799  0.8780  0.0000  1 Sb 2.96
Sb  0.1201  0.3780  0.0000  1 Sb 2.96



# 2
This record from Alexandria via LeMat-Bulk describes a geometry-optimized Nd3Er5 structure. The functional is PBE.

## Properties
* relative energy among the computed polymorphs: 2.5 meV per atom
* DFT formation energy: 0.03 eV per atom

Cell lengths 3.5647, 3.5647, 20.2878 Å; angles 90.00, 90.00, 90.02 degrees
Last column: nearest neighbours and their distance in Å.
Positions (direct):
Er  0.5000  0.5000  0.7414  8 Er 3.51-3.56, 4 Nd 3.60
Er  0.0000  0.0000  0.3794  12 Er 3.51-3.56
Er  0.5000  0.5000  0.5000  12 Er 3.51-3.56
Er  0.0000  0.0000  0.6206  12 Er 3.51-3.56
Er  0.5000  0.5000  0.2586  8 Er 3.51-3.56, 4 Nd 3.60
Nd  0.0000  0.0000  0.8680  8 Nd 3.56-3.68, 4 Er 3.60
Nd  0.0000  0.0000  0.1320  8 Nd 3.56-3.68, 4 Er 3.60
Nd  0.5000  0.5000  0.0000  12 Nd 3.56-3.68



# 3
This record from Alexandria via LeMat-Bulk describes a geometry-optimized SrAgCl2 structure. The functional is PBE.

## Properties
* relative energy among the computed polymorphs: 52.9 meV per atom
* formation energy from raw total energies: -1.2740 eV per atom

Cell lengths 3.5729, 3.5751, 10.9043 Å; angles 83.00, 90.00, 90.00 degrees
Last column: nearest neighbours and their distance in Å.
Positions (direct):
Ag  0.5000  0.7500  0.7500  4 Ag 3.57-3.58
Cl  0.0000  0.8064  0.0999  4 Sr 3.00-3.01, 1 Cl 3.25
Cl  0.0000  0.6936  0.4001  4 Sr 3.00-3.01, 1 Cl 3.25
Sr  0.5000  0.2500  0.2500  8 Cl 3.00-3.01



# 4
This record from Alexandria via LeMat-Bulk describes a geometry-optimized FeHIr2W structure. The functional is PBE.

## Properties
* final energy: -8.5265 eV per atom

Cell lengths 3.8738, 3.8738, 3.8529 Å; angles 90.00, 90.00, 90.00 degrees
Last column: nearest neighbours and their distance in Å.
Positions (direct):
Fe  0.0000  0.0000  0.5000  2 H 1.93
H  0.0000  0.0000  0.0000  2 Fe 1.93, 4 Ir 1.94
Ir  0.5000  0.0000  0.0000  2 H 1.94
Ir  0.0000  0.5000  0.0000  2 H 1.94
W  0.5000  0.5000  0.5000  8 Ir 2.73, 4 Fe 2.74



# 5
This record from Alexandria via LeMat-Bulk describes a geometry-optimized Al5Ni structure. The functional is PBE.

## Properties
* DFT formation energy: 0.35 eV per atom

Cell lengths 5.1001, 5.1001, 4.6096 Å; angles 90.00, 90.00, 120.00 degrees
Last column: nearest neighbours and their distance in Å.
Positions (direct):
Al  0.3333  0.6667  0.0000  9 Al 2.73-2.94, 3 Ni 2.94
Al  0.6667  0.3333  0.0000  9 Al 2.73-2.94, 3 Ni 2.94
Al  0.0000  0.5000  0.5000  8 Al 2.55-2.73
Al  0.5000  0.0000  0.5000  8 Al 2.55-2.73
Al  0.5000  0.5000  0.5000  8 Al 2.55-2.73
Ni  0.0000  0.0000  0.0000  6 Al 2.94



# 6
This record from Alexandria via LeMat-Bulk describes a geometry-optimized Ca3Cd9Cu2 structure. The functional is PBE.

## Properties
* DFT formation energy: -0.19 eV per atom

Cell lengths 4.8120, 8.7102, 8.7102 Å; angles 73.87, 73.96, 73.96 degrees
Last column: nearest neighbours and their distance in Å.
Positions (direct):
Cd  0.6431  0.9952  0.7186  1 Cu 2.81, 4 Cd 2.84-3.07
Cd  0.8693  0.8495  0.4119  4 Cd 2.84-3.07, 2 Cu 3.01
Cd  0.3569  0.2814  0.0048  1 Cu 2.81, 4 Cd 2.84-3.07
Cd  0.3569  0.0048  0.2814  1 Cu 2.81, 4 Cd 2.84-3.07
Cd  0.1307  0.5881  0.1505  4 Cd 2.84-3.07, 2 Cu 3.01
Cd  0.6431  0.7186  0.9952  1 Cu 2.81, 4 Cd 2.84-3.07
Cd  0.8693  0.4119  0.8495  4 Cd 2.84-3.07, 2 Cu 3.01
Cd  0.0000  0.5000  0.5000  4 Cd 2.86, 4 Cu 2.94
Cd  0.1307  0.1505  0.5881  4 Cd 2.84-3.07, 2 Cu 3.01
Cu  0.5000  0.3394  0.6606  8 Cd 2.81-3.01, 2 Ca 3.12
Cu  0.5000  0.6606  0.3394  8 Cd 2.81-3.01, 2 Ca 3.12
Ca  0.0000  0.0000  0.0000  12 Cd 3.37-3.40
Ca  0.7009  0.2991  0.2991  2 Cu 3.12, 8 Cd 3.45-3.47
Ca  0.2991  0.7009  0.7009  2 Cu 3.12, 8 Cd 3.45-3.47



# 7
This record from Alexandria via LeMat-Bulk describes a geometry-optimized CdTeS2F structure. The functional is PBE.

## Properties
* formation energy from raw total energies: 0.6072 eV per atom

Cell lengths 4.8737, 4.8737, 5.9170 Å; angles 90.00, 90.00, 90.00 degrees
Last column: nearest neighbours and their distance in Å.
Positions (direct):
Cd  0.0000  0.0000  0.0000  4 S 2.44
F  0.5000  0.5000  0.5000  4 Te 3.45, 8 S 3.83
S  0.5000  0.0000  0.0000  2 Cd 2.44
S  0.0000  0.5000  0.0000  2 Cd 2.44
Te  0.0000  0.0000  0.5000  2 Cd 2.96



DOS at the Fermi energy, record by record: 0.543 1.425 0.145 0.587 0.464 0.439 1.608 states/eV per atom
Size of the total moment, record by record: 0.000 0.000 0.000 0.042 0.000 0.000 0.407 μB/atom